Below is a geometry-optimized ThSI structure, with properties calculated at the PBE level.

The structure belongs to space group I4mm (No. 107); the cell edges are 3.678, 3.678 and 14.127 Å and the angles 90.00°, 90.00° and 90.00°. The asymmetric unit holds Th at (0.000, 0.000, 0.000), S at (0.000, 0.000, 0.591) and I at (0.000, 0.000, 0.348).

The value obtained for the calculated volume is 191.1 Å³/cell. The calculation puts the total energy at -0.21251 hartree per atom.

Below is a geometry-optimized ThS6I2 structure, with properties calculated at the PBE level.

The structure belongs to space group P-1 (No. 2); the cell edges are 5.192, 8.042 and 8.389 Å and the angles 61.82°, 86.10° and 81.65°. The asymmetric unit holds Th at (0.000, 0.000, 0.000), S at (0.060, 0.786, 0.783), S at (0.061, 0.572, 0.217), S at (0.294, 0.664, 0.000) and I at (0.500, 0.134, 0.727).

The value obtained for the calculated volume is 305.5 Å³/cell. The calculation puts the total energy at -0.16050 hartree per atom.

Below is a geometry-optimized ThSI structure, with properties calculated at the PBE level.

The structure belongs to space group R-3m (No. 166, hexagonal axes); the cell edges are 4.7391, 4.7391 and 33.9870 Å and the angles 90.00°, 90.00° and 120.00°. The asymmetric unit holds Th at (0.0000, 0.0000, 0.2128), S at (0.0000, 0.0000, 0.1308) and I at (0.0000, 0.0000, 0.3939).

The value obtained for the calculated volume is 661.1 Å³/cell. The calculation puts the total energy at -0.21562 hartree per atom.

Number 1: ΔE_f (raw) -4.250 eV per formula unit. Number 2: ΔE_f (raw) -4.022 eV per formula unit. Number 3: ΔE_f (raw) -4.505 eV per formula unit.